Compound: AcBCl
Source: the Alexandria database
Functional: PBE
Structure: relaxed

```
AcBCl
1.0
10.347 -2.018 0.000
10.347 2.018 0.000
-0.003 0.000 3.416
Ac B Cl
2 2 2
Direct
0.092 0.092 0.251
0.908 0.908 0.749
0.493 0.493 0.250
0.507 0.507 0.750
0.327 0.327 0.249
0.673 0.673 0.751
```

- ΔE to the lowest computed polymorph (meV/atom) = 0
- calculated density (g/cm3) = 6.36
- SG = No. 12
- uncorrected energy (eV per atom) = -5.2953
- E_form (uncorrected) (eV per atom) = -1.08

Compound: AcPrRuBr
Source: the Alexandria database
Functional: PBE
Structure: relaxed

```
AcPrRuBr
1.0
2.098 1.211 8.182
-2.098 1.211 8.182
0.000 -2.422 8.182
Ac Pr Ru Br
1 1 1 1
Direct
0.000 0.000 0.000
0.204 0.204 0.204
0.600 0.600 0.600
0.774 0.774 0.774
```

- calculated density (g/cm3) = 7.31
- SG = No. 160
- uncorrected energy (eV per atom) = -5.7134
- E_form (uncorrected) (eV per atom) = -0.75

Compound: NdCl3
Source: the Alexandria database
Functional: PBE
Structure: relaxed

```
NdCl3
1.0
7.536 0.000 0.000
-3.768 6.526 0.000
0.000 0.000 4.259
Nd Cl
2 6
Direct
0.333 0.667 0.250
0.667 0.333 0.750
0.087 0.391 0.750
0.304 0.913 0.750
0.391 0.304 0.250
0.609 0.696 0.750
0.696 0.087 0.250
0.913 0.609 0.250
```

- calculated density (g/cm3) = 3.97
- SG = No. 176
- uncorrected energy (eV per atom) = -4.8650
- E_form (uncorrected) (eV per atom) = -2.29

Compound: Zr2HgRu
Source: the Alexandria database
Functional: PBE
Structure: relaxed

```
Zr2HgRu
1.0
0.000 3.359 3.359
3.359 0.000 3.359
3.359 3.359 0.000
Zr Hg Ru
2 1 1
Direct
0.000 0.000 0.000
0.250 0.250 0.250
0.750 0.750 0.750
0.500 0.500 0.500
```

- calculated density (g/cm3) = 10.60
- formation energy (eV per atom) = -0.069
- SG = No. 216
- uncorrected energy (eV per atom) = -6.7374

Compound: Pu2MgN4
Source: the Alexandria database
Functional: PBE
Structure: relaxed

```
Pu2MgN4
1.0
0.000 4.748 4.748
4.748 0.000 4.748
4.748 4.748 0.000
Pu Mg N
4 2 8
Direct
0.000 0.000 0.000
0.000 0.000 0.500
0.000 0.500 0.000
0.500 0.000 0.000
0.375 0.375 0.375
0.625 0.625 0.625
0.205 0.765 0.765
0.235 0.235 0.235
0.235 0.235 0.795
0.235 0.795 0.235
0.765 0.205 0.765
0.765 0.765 0.205
0.765 0.765 0.765
0.795 0.235 0.235
```

- calculated density (g/cm3) = 8.82
- SG = No. 227
- uncorrected energy (eV per atom) = -9.8735
- E_form (uncorrected) (eV per atom) = -0.79

Compound: TcHgW2
Source: the Alexandria database
Functional: PBE
Structure: relaxed

```
TcHgW2
1.0
0.000 3.221 3.221
3.221 0.000 3.221
3.221 3.221 0.000
Tc Hg W
1 1 2
Direct
0.000 0.000 0.000
0.750 0.750 0.750
0.250 0.250 0.250
0.500 0.500 0.500
```

- calculated density (g/cm3) = 16.56
- formation energy (eV per atom) = 0.663
- SG = No. 216
- uncorrected energy (eV per atom) = -8.4801

Which of these has the highest uncorrected energy?
NdCl3